Entry 1:
DFT (PBE) results for SrTaAs2O8 after structural relaxation.

Lattice parameters (Å, degrees): 5.145 5.145 7.461 89.28 89.28 69.36
Sites, in units of the cell vectors:
Sr 0.000 0.000 0.500
Ta 0.000 0.000 0.000
As 0.630 0.630 0.215
As 0.370 0.370 0.785
O 0.743 0.216 0.803
O 0.768 0.768 0.036
O 0.709 0.709 0.422
O 0.291 0.291 0.578
O 0.232 0.232 0.964
O 0.216 0.743 0.803
O 0.784 0.257 0.197
O 0.257 0.784 0.197

DOS at the Fermi energy in states/eV per cell: 2.1
Mass density in g cm⁻³: 4.9
ΔE_f (raw) in eV per atom: -1.95
V in Å³ per cell: 184.8

Entry 2:
DFT (PBE) results for SrTbAs2O8 after structural relaxation.

Lattice parameters (Å, degrees): 5.177 5.177 6.943 111.89 111.89 90.00
Sites, in units of the cell vectors:
Sr 0.750 0.250 0.500
Tb 0.000 0.000 0.000
As 0.500 0.500 0.000
As 0.250 0.750 0.500
O 0.720 0.822 0.145
O 0.425 0.324 0.145
O 0.580 0.709 0.663
O 0.083 0.954 0.663
O 0.046 0.420 0.337
O 0.291 0.917 0.337
O 0.178 0.575 0.855
O 0.676 0.280 0.855

DOS at the Fermi energy in states/eV per cell: 7.0
Mass density in g cm⁻³: 5.5
ΔE_f (raw) in eV per atom: -2.03
V in Å³ per cell: 158.1

Entry 3:
DFT (PBE) results for SrTcAs2O8 after structural relaxation.

Lattice parameters (Å, degrees): 5.486 5.486 7.102 90.00 90.00 120.00
Sites, in units of the cell vectors:
Sr 0.000 0.000 0.500
Tc 0.000 0.000 0.000
As 0.667 0.333 0.258
As 0.333 0.667 0.742
O 0.840 0.160 0.185
O 0.840 0.680 0.185
O 0.320 0.160 0.185
O 0.680 0.840 0.815
O 0.333 0.667 0.506
O 0.667 0.333 0.494
O 0.160 0.840 0.815
O 0.160 0.320 0.815

DOS at the Fermi energy in states/eV per cell: 0.7
Mass density in g cm⁻³: 4.2
ΔE_f (raw) in eV per atom: -1.52
V in Å³ per cell: 185.1

Q: Look up the mass density of the first one.
A: 4.9 g cm⁻³

Q: Among the records above, which one has the lowest DOS at the Fermi energy?
A: SrTcAs2O8